{
  "formula": "NaPaAg4",
  "functional": "PBE-GGA",
  "state": "optimized geometry",
  "cell": [[5.648, 0.000, 0.000], [2.824, 4.891, 0.000], [2.824, 1.630, 4.612]],
  "species": ["Na", "Ag", "Pa", "Ag", "Ag", "Ag"],
  "frac_coords": [[0.250, 0.250, 0.250], [0.624, 0.624, 0.624], [0.000, 0.000, 0.000], [0.127, 0.624, 0.624], [0.624, 0.624, 0.127], [0.624, 0.127, 0.624]],
  "formation_energy_ev_per_fu": 1.33
}